Record 1
LiNdSnPd: optimized geometry, GGA-PBE.

Computed properties:
Crystal system: cubic

Structure (CIF):
```
data_LiNdSnPd
_chemical_formula_sum 'Li4 Nd4 Sn4 Pd4'
_cell_length_a 6.880
_cell_length_b 6.880
_cell_length_c 6.880
_cell_angle_alpha 90.00
_cell_angle_beta 90.00
_cell_angle_gamma 90.00
_symmetry_space_group_name_H-M 'F -4 3 m'
_symmetry_Int_Tables_number 216
_symmetry_space_group_name_Hall 'F -4 2 3'
loop_
_atom_site_label
_atom_site_type_symbol
_atom_site_fract_x
_atom_site_fract_y
_atom_site_fract_z
Li1 Li 0.000 0.000 0.000
Nd1 Nd 0.250 0.250 0.250
Sn1 Sn 0.250 0.250 0.750
Pd1 Pd 0.000 0.000 0.500
```

=====

Record 2
LiPrNd: optimized geometry, GGA-PBE.

Computed properties:
Crystal system: cubic

Structure (CIF):
```
data_LiPrNd
_chemical_formula_sum 'Li4 Pr4 Nd4'
_cell_length_a 7.324
_cell_length_b 7.324
_cell_length_c 7.324
_cell_angle_alpha 90.00
_cell_angle_beta 90.00
_cell_angle_gamma 90.00
_symmetry_space_group_name_H-M 'F -4 3 m'
_symmetry_Int_Tables_number 216
_symmetry_space_group_name_Hall 'F -4 2 3'
loop_
_atom_site_label
_atom_site_type_symbol
_atom_site_fract_x
_atom_site_fract_y
_atom_site_fract_z
Li1 Li 0.000 0.000 0.000
Pr1 Pr 0.250 0.250 0.250
Nd1 Nd 0.250 0.250 0.750
```

=====

Record 3
Li3PrNd2Sn3: optimized geometry, GGA-PBE.

Computed properties:
Crystal system: hexagonal

Structure (CIF):
```
data_Li3PrNd2Sn3
_chemical_formula_sum 'Li3 Pr1 Nd2 Sn3'
_cell_length_a 4.7835
_cell_length_b 4.7835
_cell_length_c 11.4860
_cell_angle_alpha 90.00
_cell_angle_beta 90.00
_cell_angle_gamma 120.00
_symmetry_space_group_name_H-M 'P -6 m 2'
_symmetry_Int_Tables_number 187
_symmetry_space_group_name_Hall 'P -6 2'
loop_
_atom_site_label
_atom_site_type_symbol
_atom_site_fract_x
_atom_site_fract_y
_atom_site_fract_z
Li1 Li 0.0000 0.0000 0.0000
Li2 Li 0.6667 0.3333 0.3110
Pr1 Pr 0.3333 0.6667 0.5000
Nd1 Nd 0.3333 0.6667 0.1641
Sn1 Sn 0.0000 0.0000 0.3274
Sn2 Sn 0.6667 0.3333 0.0000
```

=====

Number 1: uncorrected energy -4.741 eV/atom, M_tot 0.000 μB/f.u.. Number 2: uncorrected energy -3.360 eV/atom, M_tot 1.668 μB/f.u.. Number 3: uncorrected energy -4.197 eV/atom, M_tot 0.004 μB/f.u..